Below is Pr5Zn2In2 after structural relaxation, with properties calculated at the PBE-GGA level. Values from VASP.

Quantum ESPRESSO input file:
```
&SYSTEM
  ibrav = 0, nat = 18, ntyp = 3
/
ATOMIC_SPECIES
Pr 140.91 Pr.upf
Zn 65.41 Zn.upf
In 114.82 In.upf
ATOMIC_POSITIONS crystal
Pr 0.0000 0.0000 0.0000
Pr 0.0608 0.6708 0.6787
Pr 0.1708 0.5608 0.1787
Pr 0.3292 0.9392 0.6787
Pr 0.4392 0.8292 0.1787
Pr 0.5000 0.5000 0.5000
Pr 0.5608 0.1708 0.8213
Pr 0.6708 0.0608 0.3213
Pr 0.8292 0.4392 0.8213
Pr 0.9392 0.3292 0.3213
Zn 0.1163 0.8837 0.3912
Zn 0.3837 0.6163 0.8912
Zn 0.6163 0.3837 0.1088
Zn 0.8837 0.1163 0.6088
In 0.2217 0.2217 0.0000
In 0.2783 0.2783 0.5000
In 0.7217 0.7217 0.5000
In 0.7783 0.7783 0.0000
CELL_PARAMETERS angstrom
8.4709 -4.2748 0.0000
8.4709 4.2748 0.0000
0.0000 0.0000 7.4586
```

Computed properties:
- mass density (g/cm3) = 6.55
- E (eV for the cell shown) = -68.5
- crystal system = orthorhombic
- total magnetization (μB/f.u.) = 0.00